1.
Compound: MgIrOs2
Source: Alexandria via LeMat-Bulk
Functional: PBE-GGA
Structure: relaxed

Summary:
- energy of formation (eV/atom) = 0.385
- VASP energy (eV per atom) = -7.843
- crystal system = orthorhombic
- space-group type = Cmm2, No. 35

```
data_MgIrOs2
_chemical_formula_sum 'Mg1 Ir1 Os2'
_cell_length_a 2.740
_cell_length_b 2.740
_cell_length_c 9.131
_cell_angle_alpha 90.00
_cell_angle_beta 90.00
_cell_angle_gamma 117.71
_space_group_name_H-M_alt 'P 1'
_space_group_IT_number 1
_space_group_name_Hall 'P 1'
loop_
_atom_site_label
_atom_site_type_symbol
_atom_site_fract_x
_atom_site_fract_y
_atom_site_fract_z
Ir1 Ir 0.000 0.000 0.501
Os1 Os 0.000 0.000 0.004
Os2 Os 0.500 0.500 0.248
Mg1 Mg 0.500 0.500 0.747
```



2.
Compound: MgIr2Os
Source: Alexandria via LeMat-Bulk
Functional: PBE-GGA
Structure: relaxed

Summary:
- energy of formation (eV/atom) = 0.002
- VASP energy (eV per atom) = -7.635
- crystal system = trigonal
- space-group type = R-3m, No. 166

```
data_MgIr2Os
_chemical_formula_sum 'Mg1 Ir2 Os1'
_cell_length_a 9.041
_cell_length_b 9.041
_cell_length_c 9.041
_cell_angle_alpha 17.75
_cell_angle_beta 17.75
_cell_angle_gamma 17.75
_space_group_name_H-M_alt 'P 1'
_space_group_IT_number 1
_space_group_name_Hall 'P 1'
loop_
_atom_site_label
_atom_site_type_symbol
_atom_site_fract_x
_atom_site_fract_y
_atom_site_fract_z
Ir1 Ir 0.498 0.498 0.498
Ir2 Ir 0.002 0.002 0.002
Os1 Os 0.750 0.750 0.750
Mg1 Mg 0.250 0.250 0.250
```



3.
Compound: MgIrOs2
Source: Alexandria via LeMat-Bulk
Functional: PBE-GGA
Structure: relaxed

Summary:
- energy of formation (eV/atom) = 0.087
- VASP energy (eV per atom) = -8.142
- crystal system = monoclinic
- space-group type = C2/m, No. 12

```
data_MgIrOs2
_chemical_formula_sum 'Mg1 Ir1 Os2'
_cell_length_a 4.845
_cell_length_b 4.845
_cell_length_c 4.670
_cell_angle_alpha 80.75
_cell_angle_beta 80.75
_cell_angle_gamma 33.17
_space_group_name_H-M_alt 'P 1'
_space_group_IT_number 1
_space_group_name_Hall 'P 1'
loop_
_atom_site_label
_atom_site_type_symbol
_atom_site_fract_x
_atom_site_fract_y
_atom_site_fract_z
Os1 Os 0.490 0.490 0.502
Os2 Os 0.010 0.010 0.998
Mg1 Mg 0.250 0.250 0.250
Ir1 Ir 0.750 0.750 0.750
```



4.
Compound: MgIrOs2
Source: Alexandria via LeMat-Bulk
Functional: PBE-GGA
Structure: relaxed

Summary:
- energy of formation (eV/atom) = 0.145
- VASP energy (eV per atom) = -8.084
- crystal system = orthorhombic
- space-group type = Immm, No. 71

```
data_MgIrOs2
_chemical_formula_sum 'Mg1 Ir1 Os2'
_cell_length_a 5.785
_cell_length_b 5.785
_cell_length_c 5.785
_cell_angle_alpha 152.37
_cell_angle_beta 135.38
_cell_angle_gamma 53.29
_space_group_name_H-M_alt 'P 1'
_space_group_IT_number 1
_space_group_name_Hall 'P 1'
loop_
_atom_site_label
_atom_site_type_symbol
_atom_site_fract_x
_atom_site_fract_y
_atom_site_fract_z
Ir1 Ir 0.750 0.250 0.500
Os1 Os 0.534 0.534 0.000
Os2 Os 0.966 0.966 0.000
Mg1 Mg 0.250 0.750 0.500
```



5.
Compound: MgIrOs2
Source: Alexandria via LeMat-Bulk
Functional: PBE-GGA
Structure: relaxed

Summary:
- energy of formation (eV/atom) = 0.183
- VASP energy (eV per atom) = -8.046
- crystal system = orthorhombic
- space-group type = Amm2, No. 38

```
data_MgIrOs2
_chemical_formula_sum 'Mg1 Ir1 Os2'
_cell_length_a 4.208
_cell_length_b 2.720
_cell_length_c 5.344
_cell_angle_alpha 75.25
_cell_angle_beta 90.00
_cell_angle_gamma 90.00
_space_group_name_H-M_alt 'P 1'
_space_group_IT_number 1
_space_group_name_Hall 'P 1'
loop_
_atom_site_label
_atom_site_type_symbol
_atom_site_fract_x
_atom_site_fract_y
_atom_site_fract_z
Ir1 Ir 0.000 0.544 0.538
Os1 Os 0.000 0.801 0.025
Os2 Os 0.500 0.206 0.213
Mg1 Mg 0.500 0.949 0.724
```



6.
Compound: MgIr2Os
Source: Alexandria via LeMat-Bulk
Functional: PBE-GGA
Structure: relaxed

Summary:
- energy of formation (eV/atom) = 0.004
- VASP energy (eV per atom) = -7.632
- crystal system = tetragonal
- space-group type = I4/mmm, No. 139

```
data_MgIr2Os
_chemical_formula_sum 'Mg1 Ir2 Os1'
_cell_length_a 4.717
_cell_length_b 4.717
_cell_length_c 4.717
_cell_angle_alpha 130.70
_cell_angle_beta 130.70
_cell_angle_gamma 72.29
_space_group_name_H-M_alt 'P 1'
_space_group_IT_number 1
_space_group_name_Hall 'P 1'
loop_
_atom_site_label
_atom_site_type_symbol
_atom_site_fract_x
_atom_site_fract_y
_atom_site_fract_z
Os1 Os 0.750 0.250 0.500
Mg1 Mg 0.250 0.750 0.500
Ir1 Ir 0.500 0.500 0.000
Ir2 Ir 0.000 0.000 0.000
```



7.
Compound: MgIr2Os
Source: Alexandria via LeMat-Bulk
Functional: PBE-GGA
Structure: relaxed

Summary:
- energy of formation (eV/atom) = 0.047
- VASP energy (eV per atom) = -7.589
- crystal system = orthorhombic
- space-group type = Pmm2, No. 25

```
data_MgIr2Os
_chemical_formula_sum 'Mg1 Ir2 Os1'
_cell_length_a 2.773
_cell_length_b 3.947
_cell_length_c 5.458
_cell_angle_alpha 90.00
_cell_angle_beta 90.00
_cell_angle_gamma 90.00
_space_group_name_H-M_alt 'P 1'
_space_group_IT_number 1
_space_group_name_Hall 'P 1'
loop_
_atom_site_label
_atom_site_type_symbol
_atom_site_fract_x
_atom_site_fract_y
_atom_site_fract_z
Ir1 Ir 0.500 0.500 0.266
Ir2 Ir 0.000 0.000 0.977
Mg1 Mg 0.000 0.000 0.486
Os1 Os 0.500 0.500 0.771
```



8.
Compound: MgIrOs2
Source: Alexandria via LeMat-Bulk
Functional: PBE-GGA
Structure: relaxed

Summary:
- energy of formation (eV/atom) = 0.279
- VASP energy (eV per atom) = -7.950
- crystal system = tetragonal
- space-group type = P4/mmm, No. 123

```
data_MgIrOs2
_chemical_formula_sum 'Mg1 Ir1 Os2'
_cell_length_a 4.127
_cell_length_b 3.790
_cell_length_c 3.790
_cell_angle_alpha 90.00
_cell_angle_beta 90.00
_cell_angle_gamma 90.00
_space_group_name_H-M_alt 'P 1'
_space_group_IT_number 1
_space_group_name_Hall 'P 1'
loop_
_atom_site_label
_atom_site_type_symbol
_atom_site_fract_x
_atom_site_fract_y
_atom_site_fract_z
Os1 Os 0.000 0.500 0.500
Os2 Os 0.000 0.000 0.000
Ir1 Ir 0.500 0.500 0.000
Mg1 Mg 0.500 0.000 0.500
```



9.
Compound: MgIr6Os
Source: Alexandria via LeMat-Bulk
Functional: PBE-GGA
Structure: relaxed

Summary:
- energy of formation (eV/atom) = -0.110
- VASP energy (eV per atom) = -8.359
- crystal system = tetragonal
- space-group type = P4/mmm, No. 123

```
data_MgIr6Os
_chemical_formula_sum 'Mg1 Ir6 Os1'
_cell_length_a 3.875
_cell_length_b 3.875
_cell_length_c 7.802
_cell_angle_alpha 90.00
_cell_angle_beta 90.00
_cell_angle_gamma 90.00
_space_group_name_H-M_alt 'P 1'
_space_group_IT_number 1
_space_group_name_Hall 'P 1'
loop_
_atom_site_label
_atom_site_type_symbol
_atom_site_fract_x
_atom_site_fract_y
_atom_site_fract_z
Ir1 Ir 0.500 0.000 0.258
Ir2 Ir 0.500 0.500 0.500
Ir3 Ir 0.000 0.500 0.742
Ir4 Ir 0.000 0.500 0.258
Ir5 Ir 0.500 0.500 0.000
Ir6 Ir 0.500 0.000 0.742
Os1 Os 0.000 0.000 0.500
Mg1 Mg 0.000 0.000 0.000
```



10.
Compound: MgIrOs2
Source: Alexandria via LeMat-Bulk
Functional: PBE-GGA
Structure: relaxed

Summary:
- energy of formation (eV/atom) = 0.318
- VASP energy (eV per atom) = -7.911
- crystal system = monoclinic
- space-group type = P2/m, No. 10

```
data_MgIrOs2
_chemical_formula_sum 'Mg1 Ir1 Os2'
_cell_length_a 4.674
_cell_length_b 2.763
_cell_length_c 4.689
_cell_angle_alpha 86.18
_cell_angle_beta 90.00
_cell_angle_gamma 90.00
_space_group_name_H-M_alt 'P 1'
_space_group_IT_number 1
_space_group_name_Hall 'P 1'
loop_
_atom_site_label
_atom_site_type_symbol
_atom_site_fract_x
_atom_site_fract_y
_atom_site_fract_z
Mg1 Mg 0.500 0.750 0.750
Ir1 Ir 0.500 0.250 0.250
Os1 Os 0.000 0.461 0.500
Os2 Os 0.000 0.039 0.000
```



11.
Compound: MgIr2Os
Source: Alexandria via LeMat-Bulk
Functional: PBE-GGA
Structure: relaxed

Summary:
- energy of formation (eV/atom) = 0.073
- VASP energy (eV per atom) = -7.564
- crystal system = orthorhombic
- space-group type = Imm2, No. 44

```
data_MgIr2Os
_chemical_formula_sum 'Mg1 Ir2 Os1'
_cell_length_a 5.729
_cell_length_b 5.729
_cell_length_c 5.729
_cell_angle_alpha 152.01
_cell_angle_beta 134.28
_cell_angle_gamma 54.46
_space_group_name_H-M_alt 'P 1'
_space_group_IT_number 1
_space_group_name_Hall 'P 1'
loop_
_atom_site_label
_atom_site_type_symbol
_atom_site_fract_x
_atom_site_fract_y
_atom_site_fract_z
Ir1 Ir 0.007 0.007 0.000
Ir2 Ir 0.779 0.279 0.500
Os1 Os 0.220 0.720 0.500
Mg1 Mg 0.495 0.495 0.000
```



12.
Compound: MgIr2Os
Source: Alexandria via LeMat-Bulk
Functional: PBE-GGA
Structure: relaxed

Summary:
- energy of formation (eV/atom) = 0.304
- VASP energy (eV per atom) = -7.333
- crystal system = orthorhombic
- space-group type = Cmm2, No. 35

```
data_MgIr2Os
_chemical_formula_sum 'Mg1 Ir2 Os1'
_cell_length_a 2.743
_cell_length_b 2.743
_cell_length_c 9.191
_cell_angle_alpha 90.00
_cell_angle_beta 90.00
_cell_angle_gamma 118.63
_space_group_name_H-M_alt 'P 1'
_space_group_IT_number 1
_space_group_name_Hall 'P 1'
loop_
_atom_site_label
_atom_site_type_symbol
_atom_site_fract_x
_atom_site_fract_y
_atom_site_fract_z
Os1 Os 0.500 0.500 0.752
Ir1 Ir 0.500 0.500 0.253
Ir2 Ir 0.000 0.000 0.998
Mg1 Mg 0.000 0.000 0.497
```



VASP energy of number 11 (MgIr2Os)?
-7.564 eV per atom



Which formula does entry 1 have?
MgIrOs2



Number 2 is which compound?
MgIr2Os



Copy entry 8 word for word.
Compound: MgIrOs2
Source: Alexandria via LeMat-Bulk
Functional: PBE-GGA
Structure: relaxed

Summary:
- energy of formation (eV/atom) = 0.279
- VASP energy (eV per atom) = -7.950
- crystal system = tetragonal
- space-group type = P4/mmm, No. 123

```
data_MgIrOs2
_chemical_formula_sum 'Mg1 Ir1 Os2'
_cell_length_a 4.127
_cell_length_b 3.790
_cell_length_c 3.790
_cell_angle_alpha 90.00
_cell_angle_beta 90.00
_cell_angle_gamma 90.00
_space_group_name_H-M_alt 'P 1'
_space_group_IT_number 1
_space_group_name_Hall 'P 1'
loop_
_atom_site_label
_atom_site_type_symbol
_atom_site_fract_x
_atom_site_fract_y
_atom_site_fract_z
Os1 Os 0.000 0.500 0.500
Os2 Os 0.000 0.000 0.000
Ir1 Ir 0.500 0.500 0.000
Mg1 Mg 0.500 0.000 0.500
```